(1)
First-principles (GGA-PBE) data for Cs12Rb5Hg3 after structural relaxation, as listed in Alexandria via LeMat-Bulk.

Lattice parameters (Å, degrees): 22.350 22.350 22.350 109.47 109.47 109.47
Atoms (fractional coordinates):
Hg 0.750 0.375 0.125
Hg 0.875 0.750 0.125
Hg 0.375 0.750 0.625
Hg 0.250 0.125 0.375
Hg 0.875 0.125 0.250
Hg 0.375 0.625 0.250
Hg 0.625 0.375 0.750
Hg 0.125 0.875 0.750
Hg 0.750 0.875 0.625
Hg 0.625 0.250 0.375
Hg 0.125 0.250 0.875
Hg 0.250 0.625 0.875
Rb 0.125 0.375 0.250
Rb 0.000 0.500 0.000
Rb 0.000 0.000 0.000
Rb 0.375 0.250 0.125
Rb 0.500 0.000 0.500
Rb 0.500 0.500 0.000
Rb 0.125 0.750 0.375
Rb 0.750 0.125 0.875
Rb 0.750 0.625 0.375
Rb 0.375 0.125 0.750
Rb 0.625 0.875 0.250
Rb 0.500 0.500 0.500
Rb 0.500 0.000 0.000
Rb 0.000 0.000 0.500
Rb 0.250 0.375 0.625
Rb 0.250 0.875 0.125
Rb 0.000 0.500 0.500
Rb 0.875 0.250 0.625
Rb 0.625 0.750 0.875
Rb 0.875 0.625 0.750
Cs 0.748 0.130 0.082
Cs 0.334 0.582 0.453
Cs 0.918 0.370 0.252
Cs 0.582 0.248 0.130
Cs 0.619 0.748 0.666
Cs 0.918 0.547 0.166
Cs 0.334 0.752 0.381
Cs 0.047 0.881 0.130
Cs 0.547 0.918 0.666
Cs 0.748 0.619 0.166
Cs 0.752 0.418 0.370
Cs 0.834 0.953 0.082
Cs 0.130 0.748 0.582
Cs 0.370 0.453 0.119
Cs 0.119 0.953 0.370
Cs 0.381 0.130 0.547
Cs 0.119 0.166 0.248
Cs 0.418 0.666 0.047
Cs 0.834 0.881 0.252
Cs 0.130 0.381 0.047
Cs 0.370 0.918 0.752
Cs 0.547 0.630 0.381
Cs 0.953 0.834 0.582
Cs 0.752 0.334 0.881
Cs 0.453 0.370 0.619
Cs 0.047 0.166 0.418
Cs 0.248 0.666 0.119
Cs 0.166 0.119 0.748
Cs 0.630 0.082 0.248
Cs 0.870 0.619 0.953
Cs 0.582 0.334 0.953
Cs 0.619 0.870 0.453
Cs 0.881 0.834 0.752
Cs 0.881 0.047 0.630
Cs 0.870 0.252 0.418
Cs 0.166 0.047 0.918
Cs 0.630 0.547 0.881
Cs 0.453 0.082 0.334
Cs 0.252 0.381 0.834
Cs 0.248 0.582 0.630
Cs 0.953 0.119 0.870
Cs 0.666 0.248 0.619
Cs 0.418 0.752 0.870
Cs 0.082 0.453 0.834
Cs 0.381 0.252 0.334
Cs 0.082 0.630 0.748
Cs 0.666 0.418 0.547
Cs 0.252 0.870 0.918

Output
For the electronic total energy, the calculation gives -0.716 eV per atom. The calculation puts the density of states at the Fermi level at 0.808 states/eV/atom. Its volume is 8594 Å³ per cell.

***

(2)
First-principles (GGA-PBE) data for TbPr2In3 after structural relaxation, as listed in Alexandria via LeMat-Bulk.

Lattice parameters (Å, degrees): 3.786 6.621 14.902 90.00 97.30 90.00
Atoms (fractional coordinates):
Tb 0.331 0.750 0.662
Tb 0.669 0.250 0.338
Pr 0.154 0.750 0.308
Pr 0.846 0.250 0.692
Pr 0.994 0.750 0.988
Pr 0.006 0.250 0.012
In 0.422 0.489 0.844
In 0.578 0.511 0.156
In 0.422 0.011 0.844
In 0.578 0.989 0.156
In 0.746 0.750 0.491
In 0.254 0.250 0.509

Output
For the electronic total energy, the calculation gives -4.036 eV per atom. The calculation puts the density of states at the Fermi level at 0.950 states/eV/atom. Its volume is 371 Å³ per cell.